A geometry-optimized TbTm3Hg6 structure. Source: Alexandria via LeMat-Bulk, functional PBE.

Cell: 9.0777 5.1295 11.0336 Å, 90.00 106.85 90.00°
Closest atoms and distances in Å follow each position.
Sites, in units of the cell vectors:
Tb 0.0630 0.2500 0.3882  8 Hg 3.08-3.30
Tb 0.9370 0.7500 0.6118  8 Hg 3.08-3.30
Tm 0.2319 0.2500 0.0057  8 Hg 3.03-3.36
Tm 0.3529 0.7500 0.8021  8 Hg 3.03-3.14
Tm 0.4815 0.2500 0.6112  8 Hg 2.99-3.33
Tm 0.5185 0.7500 0.3888  8 Hg 2.99-3.33
Tm 0.6471 0.2500 0.1979  8 Hg 3.03-3.14
Tm 0.7681 0.7500 0.9943  8 Hg 3.03-3.36
Hg 0.0636 0.7500 0.9031  4 Tm 3.03-3.14, 1 Tb 3.08, 3 Hg 3.18-3.19
Hg 0.1398 0.7500 0.2041  8 Hg 3.18-3.49, 2 Tm 3.45-3.50, 2 Tb 3.47
Hg 0.1673 0.2500 0.6901  4 Tm 3.12-3.36, 3 Tb 3.19-3.26, 3 Hg 3.32-3.42
Hg 0.2488 0.7500 0.5150  4 Tm 3.03-3.30, 3 Tb 3.16-3.30, 1 Hg 3.28
Hg 0.3551 0.2500 0.2966  5 Tm 2.99-3.33, 1 Tb 3.10, 2 Hg 3.21
Hg 0.4631 0.7500 0.0930  7 Tm 3.07-3.28
Hg 0.5369 0.2500 0.9070  7 Tm 3.07-3.28
Hg 0.6449 0.7500 0.7034  5 Tm 2.99-3.33, 1 Tb 3.10, 2 Hg 3.21
Hg 0.7512 0.2500 0.4850  4 Tm 3.03-3.30, 3 Tb 3.16-3.30, 1 Hg 3.28
Hg 0.8327 0.7500 0.3099  4 Tm 3.12-3.36, 3 Tb 3.19-3.26, 3 Hg 3.32-3.42
Hg 0.8602 0.2500 0.7959  8 Hg 3.18-3.49, 2 Tm 3.45-3.50, 2 Tb 3.47
Hg 0.9364 0.2500 0.0969  4 Tm 3.03-3.14, 1 Tb 3.08, 3 Hg 3.18-3.19

Computed properties:
Magnetic moment   0.00 μB per formula unit
Formation energy from the elements   -0.417 eV per atom
Theoretical density   12.63 g/cm3